Record 1
First-principles (PBE) data for a relaxed AlIrC crystal, as listed in Alexandria.

Output
Calculated total energy in eV/atom: -7.27
DFT formation energy in eV per atom: 0.009

Cell: 4.143 2.734 7.981 Å, 90.00 105.11 90.00°
Sites, in units of the cell vectors:
Al  0.808  0.000  0.615
C  0.457  0.000  0.914
Al  0.192  0.000  0.385
Ir  0.361  0.500  0.721
Ir  0.639  0.500  0.279
C  0.543  0.000  0.086

Record 2
First-principles (PBE) data for a relaxed AlIrC crystal, as listed in Alexandria.

Output
Calculated total energy in eV/atom: -7.17
DFT formation energy in eV per atom: 0.105

Cell: 5.663 4.179 7.037 Å, 90.00 94.03 90.00°
Sites, in units of the cell vectors:
Ir  0.686  0.947  0.808
Ir  0.314  0.447  0.692
C  0.391  0.726  0.449
Al  0.871  0.416  0.663
Al  0.129  0.916  0.837
C  0.609  0.226  0.051
Al  0.129  0.416  0.337
C  0.391  0.226  0.949
Ir  0.686  0.447  0.308
Ir  0.314  0.947  0.192
C  0.609  0.726  0.551
Al  0.871  0.916  0.163

Record 3
First-principles (PBE) data for a relaxed AlIrC crystal, as listed in Alexandria.

Output
Calculated total energy in eV/atom: -7.18
DFT formation energy in eV per atom: 0.098

Cell: 4.042 9.035 4.137 Å, 90.00 93.95 90.00°
Sites, in units of the cell vectors:
Al  0.000  0.557  0.500
C  0.869  0.400  0.105
Ir  0.000  0.765  0.000
Ir  0.500  0.731  0.500
Ir  0.500  0.231  0.000
C  0.131  0.400  0.895
C  0.131  0.900  0.395
Al  0.500  0.566  0.000
Al  0.500  0.066  0.500
Al  0.000  0.057  0.000
C  0.869  0.900  0.605
Ir  0.000  0.265  0.500

calculated total energy of number 3 (AlIrC)? -7.18 eV/atom